## SrLiCl2 (GGA-PBE)

Data for crystalline SrLiCl2 at its relaxed geometry.

```
SrLiCl2
1.0
7.4200 0.0198 0.0167
6.4627 3.6456 0.0167
1.7109 0.4517 4.5557
Cl Li Sr
2 1 1
Direct
0.9453 0.9453 0.9514 Cl
0.7341 0.7341 0.6803 Cl
0.5539 0.5539 0.7349 Li
0.2667 0.2667 0.1334 Sr
```

Results
Total moment = 0.52 μB per formula unit
ΔE_f (raw) = -1.592 eV per atom